Below is a crystal of Ba10Ru3WCl4O18 relaxed with PBEsol, with properties calculated at the SCAN level.

Summary:
**Calculated density**: 5.19 g/cm³
**Energy relative to the elements, uncorrected**: -2.496 eV per atom
**Raw total energy**: -22.322 eV per atom

a = 5.8363 Å, b = 5.8363 Å, c = 24.8401 Å
α = 90.00°, β = 90.00°, γ = 120.00°
Space group P3m1 (No. 156)
Symmetry-distinct sites (fractional):
Ba (0.0000, 0.0000, 0.0000) [1 per cell]
Ba (0.0000, 0.0000, 0.1585) [1 per cell]
Ba (0.0000, 0.0000, 0.4117) [1 per cell]
Ba (0.0000, 0.0000, 0.5848) [1 per cell]
Ba (0.0000, 0.0000, 0.7459) [1 per cell]
Ba (0.3333, 0.6667, 0.0791) [1 per cell]
Ba (0.3333, 0.6667, 0.2469) [1 per cell]
Ba (0.3333, 0.6667, 0.4998) [1 per cell]
Ba (0.3333, 0.6667, 0.6607) [1 per cell]
Ba (0.3333, 0.6667, 0.9108) [1 per cell]
Ru (0.6667, 0.3333, 0.0231) [1 per cell]
Ru (0.6667, 0.3333, 0.1357) [1 per cell]
Ru (0.6667, 0.3333, 0.6316) [1 per cell]
W (0.6667, 0.3333, 0.5264) [1 per cell]
Cl (0.0000, 0.0000, 0.2849) [1 per cell]
Cl (0.0000, 0.0000, 0.8752) [1 per cell]
Cl (0.3333, 0.6667, 0.3759) [1 per cell]
Cl (0.3333, 0.6667, 0.7846) [1 per cell]
O (0.3473, 0.1736, 0.6718) [3 per cell]
O (0.3503, 0.1752, 0.4869) [3 per cell]
O (0.3650, 0.1825, 0.0796) [3 per cell]
O (0.5064, 0.0128, 0.9853) [3 per cell]
O (0.5066, 0.0133, 0.1740) [3 per cell]
O (0.5080, 0.0161, 0.5774) [3 per cell]

---

Below is a crystal of BaSCl2O relaxed with PBEsol, with properties calculated at the SCAN level.

Summary:
**Calculated density**: 4.33 g/cm³
**Energy relative to the elements, uncorrected**: -0.876 eV per atom
**Raw total energy**: -15.150 eV per atom

a = 4.820 Å, b = 4.820 Å, c = 4.229 Å
α = 90.00°, β = 90.00°, γ = 90.00°
Space group P4/mmm (No. 123)
Symmetry-distinct sites (fractional):
Ba (0.000, 0.000, 0.000) [1 per cell]
S (0.500, 0.500, 0.000) [1 per cell]
Cl (0.000, 0.500, 0.500) [2 per cell]
O (0.500, 0.500, 0.500) [1 per cell]

---

Below is a crystal of Ba5SiCl6O4 relaxed with PBEsol, with properties calculated at the SCAN level.

Summary:
**Calculated density**: 4.21 g/cm³
**Energy relative to the elements, uncorrected**: -3.030 eV per atom
**Raw total energy**: -20.565 eV per atom

a = 9.426 Å, b = 14.673 Å, c = 11.690 Å
α = 90.00°, β = 104.56°, γ = 90.00°
Space group C2/c (No. 15)
Symmetry-distinct sites (fractional):
Ba (0.000, 0.200, 0.250) [4 per cell]
Ba (0.054, 0.371, 0.980) [8 per cell]
Ba (0.152, 0.077, 0.633) [8 per cell]
Si (0.000, 0.422, 0.250) [4 per cell]
Cl (0.000, 0.241, 0.750) [4 per cell]
Cl (0.131, 0.150, 0.049) [8 per cell]
Cl (0.174, 0.028, 0.368) [8 per cell]
Cl (0.250, 0.250, 0.500) [4 per cell]
O (0.079, 0.480, 0.369) [8 per cell]
O (0.123, 0.355, 0.214) [8 per cell]